Below is a relaxed Ca2MnFeO4 crystal, with properties calculated at the GGA+U level.

a b c (Å): 5.559 3.338 5.674
angles (deg): 90.00 108.95 90.00
Space group P2/m (No. 10)
Asymmetric unit:
Ca 0.000 0.000 0.000 [1 per cell]
Ca 0.000 0.500 0.500 [1 per cell]
Mn 0.500 0.000 0.500 [1 per cell]
Fe 0.500 0.500 0.000 [1 per cell]
O 0.265 0.000 0.751 [2 per cell]
O 0.267 0.500 0.247 [2 per cell]

Spin magnetization (μB/atom): 1.12
VASP energy (eV/atom): -6.825